Entry from OQMD: crystalline AcGaAg at its relaxed geometry (GGA-PBE).

## Properties
The total energy is -0.2603 Ry/atom. For the magnetic moment, the calculation gives 0.16 μB per formula unit. The energy above the most stable polymorph in this dataset is 0.00 kcal/mol of atoms.

Cell lengths 5.001, 5.001, 5.001 Å; angles 60.00, 60.00, 60.00 degrees
Atoms (fractional coordinates):
Ac  0.500  0.500  0.500
Ag  0.250  0.250  0.250
Ga  0.000  0.000  0.000